Crystalline Pr4TeCBr2 at its relaxed geometry, computed with PBE-GGA.

Computed properties:
ΔE_f (raw) (eV/atom): -1.069
Calculated total energy (eV/atom): -5.42

Lattice parameters (Å, degrees): 7.681 4.061 7.712 90.00 107.96 90.00
Space group P2/m (No. 10)
Unique sites:
1 Pr 0.194 0.000 0.192 x2
2 Pr 0.207 0.500 0.800 x2
3 Te 0.000 0.000 0.500 x1
4 C 0.000 0.500 0.000 x1
5 Br 0.500 0.000 0.000 x1
6 Br 0.500 0.500 0.500 x1